No. 1
DFT (GGA-PBE) results for a relaxed Rb2Li3RhF12 crystal.

```
18
Lattice="-5.782 -3.393 -3.768 0.649 -3.902 -6.595 -0.958 -7.587 -0.812" Properties=species:S:1:pos:R:3 pbc="T T T"
Rb -3.665 -8.955 -6.725
Rb -2.426 -5.927 -4.451
Li -2.891 -1.696 -1.884
Li 0.324 -1.951 -3.298
Li -0.479 -3.794 -0.406
Rh 0.000 0.000 0.000
F -2.555 -9.398 -4.119
F -5.046 -9.126 -9.836
F -2.102 -11.686 -8.031
F -5.457 -6.875 -5.897
F -6.027 -11.376 -6.306
F -1.588 -7.181 -7.598
F -3.536 -5.484 -7.057
F -1.045 -5.756 -1.340
F -3.989 -3.195 -3.145
F -0.634 -8.007 -5.279
F -0.064 -3.506 -4.870
F -4.503 -7.701 -3.578
```

No. 2
DFT (GGA-PBE) results for a relaxed RbLiRhF2 crystal.

```
5
Lattice="-2.285 2.596 3.007 -2.127 -3.578 1.473 3.303 -0.686 3.102" Properties=species:S:1:pos:R:3 pbc="T T T"
Li -1.064 -1.789 0.736
Rh 0.000 0.000 0.000
Rb -0.555 -0.834 3.791
F 1.651 -0.343 1.551
F -1.143 1.298 1.503
```

No. 3
DFT (GGA-PBE) results for a relaxed RbLi2RhF8 crystal.

```
12
Lattice="-3.475 3.738 -0.684 0.928 -3.376 -3.777 -5.807 -4.864 2.921" Properties=species:S:1:pos:R:3 pbc="T T T"
Rb 0.000 0.000 0.000
Li -3.581 0.049 -0.924
Li -4.774 -4.550 -0.617
Rh -2.904 -2.432 1.460
F -6.066 -5.632 0.033
F -2.864 -1.609 -0.281
F -4.520 0.861 0.539
F -2.289 1.131 -1.573
F -3.834 -5.361 -2.079
F -5.491 -2.891 -1.260
F -3.468 -4.118 0.720
F -4.887 -0.383 -2.261
```

No. 4
DFT (GGA-PBE) results for a relaxed RbLiRhF6 crystal.

```
9
Lattice="-1.787 4.938 1.058 -3.173 0.856 4.231 4.974 1.050 3.514" Properties=species:S:1:pos:R:3 pbc="T T T"
Rb 4.974 1.051 3.515
Li -0.819 4.387 5.282
Rh 0.834 2.456 3.520
F 0.432 0.742 2.671
F 2.667 2.499 2.842
F 1.121 4.089 4.557
F 1.361 1.338 5.034
F -1.010 2.643 4.143
F 0.432 3.428 1.872
```

Raw formation energy per entry: -2028 -1047 -2095 -2201 meV/atom
Raw total energy per entry: -4.111 -3.842 -4.355 -4.586 eV per atom